Record 1
Below is Zn2ReAg at its PBEsol-relaxed geometry, with properties calculated at the SCAN level.

Results
Density of states at the Fermi level   1.5 states/eV/f.u.
Calculated total energy   -32.089 eV/atom
DFT formation energy   0.2851 eV per atom
Magnetic moment   0.0 μB/cell
Distance to the lowest polymorph of the same formula   0.000 eV per atom

a = 2.6485 Å, b = 2.6485 Å, c = 8.2693 Å
α = 90.00°, β = 90.00°, γ = 90.00°
With the nearest neighbours (Å) after each atom.
Fractional coordinates of all 4 atoms:
Zn 0.0000 0.0000 0.0000  8 Zn 2.65-2.71, 4 Re 2.74
Zn 0.5000 0.5000 0.2375  8 Zn 2.65-2.71, 4 Ag 2.80
Re 0.5000 0.5000 0.7580  4 Re 2.65, 4 Zn 2.74, 4 Ag 2.91
Ag 0.0000 0.0000 0.4888  4 Ag 2.65, 4 Zn 2.80, 4 Re 2.91

=====

Record 2
Below is Zn2ReAg at its PBEsol-relaxed geometry, with properties calculated at the SCAN level.

Results
Density of states at the Fermi level   1.9 states/eV/f.u.
Calculated total energy   -32.018 eV/atom
DFT formation energy   0.3557 eV per atom
Magnetic moment   0.0 μB/cell
Distance to the lowest polymorph of the same formula   0.071 eV per atom

a = 2.6457 Å, b = 4.1606 Å, c = 5.3227 Å
α = 90.00°, β = 90.00°, γ = 90.00°
With the nearest neighbours (Å) after each atom.
Fractional coordinates of all 4 atoms:
Zn 0.0000 0.0000 0.0000  2 Ag 2.61-2.71, 6 Zn 2.65-2.90, 4 Re 2.69
Zn 0.5000 0.5000 0.2887  2 Re 2.61-2.71, 6 Zn 2.65-2.90, 4 Ag 2.73
Re 0.5000 0.5000 0.7983  6 Zn 2.61-2.71, 2 Re 2.65, 4 Ag 2.90
Ag 0.0000 0.0000 0.5099  6 Zn 2.61-2.73, 2 Ag 2.65, 4 Re 2.90